# TaTc3Au

A PBEsol-optimized structure of TaTc3Au (SCAN, the Alexandria database).

a = 4.6426 Å, b = 4.6426 Å, c = 4.6426 Å
α = 90.00°, β = 90.00°, γ = 90.00°
Last column: nearest neighbours and their distance in Å.
Positions (direct):
Ta (0.0000, 0.0000, 0.0000)  12 Tc 3.28
Tc (0.0000, 0.5000, 0.5000)  2 Au 2.32
Tc (0.5000, 0.0000, 0.5000)  2 Au 2.32
Tc (0.5000, 0.5000, 0.0000)  2 Au 2.32
Au (0.5000, 0.5000, 0.5000)  6 Tc 2.32

Properties
calculated volume	20.01	Å³ per atom
energy	-45.82	eV per atom
space-group type	Pm-3m, No. 221
spin magnetization	0.97	μB/atom